! SbAsO2, optimized geometry, DFT GGA-PBE; values from VASP
&SYSTEM
  ibrav = 0, nat = 4, ntyp = 3
/
ATOMIC_SPECIES
O 16.00 O.upf
As 74.92 As.upf
Sb 121.76 Sb.upf
ATOMIC_POSITIONS crystal
O 0.111 0.111 0.111
O 0.889 0.889 0.889
As 0.500 0.500 0.500
Sb 0.000 0.000 0.000
CELL_PARAMETERS angstrom
-3.340 2.794 5.516
-1.517 0.424 6.848
-0.182 3.337 6.182
! Raw total energy (eV/cell): -21.1
! Energy relative to the elements, uncorrected (eV/atom): -0.6065